Entry 1:
Material: TlAgTe2OsS
Method: DFT, PBE-GGA
State: optimized geometry Values from VASP.

```
&SYSTEM
  ibrav = 0, nat = 12, ntyp = 5
/
ATOMIC_SPECIES
Tl 204.38 Tl.upf
Te 127.60 Te.upf
Os 190.23 Os.upf
Ag 107.87 Ag.upf
S 32.06 S.upf
ATOMIC_POSITIONS crystal
Tl 0.240 0.760 0.250
Tl 0.760 0.240 0.750
Te 0.622 0.378 0.014
Te 0.378 0.622 0.986
Te 0.378 0.622 0.514
Te 0.622 0.378 0.486
Os 0.000 0.000 0.000
Os 0.000 0.000 0.500
Ag 0.535 0.465 0.250
Ag 0.465 0.535 0.750
S 0.063 0.937 0.750
S 0.937 0.063 0.250
CELL_PARAMETERS angstrom
2.003 -7.560 0.000
2.003 7.560 0.000
0.000 0.000 9.932
```

Output
Space-group type   Cmcm
Uncorrected energy   -51.425 eV/cell

Entry 2:
Material: TlAg3OsS4
Method: DFT, PBE-GGA
State: optimized geometry Values from VASP.

```
&SYSTEM
  ibrav = 0, nat = 9, ntyp = 4
/
ATOMIC_SPECIES
Ag 107.87 Ag.upf
S 32.06 S.upf
Tl 204.38 Tl.upf
Os 190.23 Os.upf
ATOMIC_POSITIONS crystal
Ag 0.000 0.500 0.000
Ag 0.500 0.000 0.000
Ag 0.000 0.000 0.500
S 0.788 0.212 0.212
S 0.788 0.788 0.788
S 0.212 0.212 0.788
S 0.212 0.788 0.212
Tl 0.500 0.500 0.500
Os 0.000 0.000 0.000
CELL_PARAMETERS angstrom
6.235 0.000 0.000
0.000 6.235 0.000
0.000 0.000 6.235
```

Output
Space-group type   P-43m
Uncorrected energy   -37.990 eV/cell

Entry 3:
Material: AgSb5Os3
Method: DFT, PBE-GGA
State: optimized geometry Values from VASP.

```
&SYSTEM
  ibrav = 0, nat = 9, ntyp = 3
/
ATOMIC_SPECIES
Sb 121.76 Sb.upf
Os 190.23 Os.upf
Ag 107.87 Ag.upf
ATOMIC_POSITIONS crystal
Sb 0.000 0.000 0.500
Sb 0.333 0.667 0.223
Sb 0.333 0.667 0.777
Sb 0.667 0.333 0.777
Sb 0.667 0.333 0.223
Os 0.500 0.500 0.500
Os 0.500 0.000 0.500
Os 0.000 0.500 0.500
Ag 0.000 0.000 0.000
CELL_PARAMETERS angstrom
5.640 0.000 0.000
-2.820 4.884 0.000
0.000 0.000 7.904
```

Output
Space-group type   P6/mmm
Uncorrected energy   -53.102 eV/cell

Entry 4:
Material: Ag2SbOs
Method: DFT, PBE-GGA
State: optimized geometry Values from VASP.

```
&SYSTEM
  ibrav = 0, nat = 4, ntyp = 3
/
ATOMIC_SPECIES
Ag 107.87 Ag.upf
Os 190.23 Os.upf
Sb 121.76 Sb.upf
ATOMIC_POSITIONS crystal
Ag 0.000 0.000 0.000
Ag 0.750 0.750 0.750
Os 0.250 0.250 0.250
Sb 0.500 0.500 0.500
CELL_PARAMETERS angstrom
0.000 3.280 3.280
3.280 0.000 3.280
3.280 3.280 0.000
```

Output
Space-group type   F-43m
Uncorrected energy   -18.872 eV/cell

Entry 5:
Material: Sc2AgOs
Method: DFT, PBE-GGA
State: optimized geometry Values from VASP.

```
&SYSTEM
  ibrav = 0, nat = 24, ntyp = 3
/
ATOMIC_SPECIES
Ag 107.87 Ag.upf
Sc 44.96 Sc.upf
Os 190.23 Os.upf
ATOMIC_POSITIONS crystal
Ag 0.000 0.500 0.000
Ag 0.500 0.000 0.500
Ag 0.500 0.000 0.167
Ag 0.000 0.500 0.667
Ag 0.500 0.000 0.833
Ag 0.000 0.500 0.333
Sc 0.000 0.750 0.833
Sc 0.500 0.250 0.000
Sc 0.500 0.750 0.000
Sc 0.500 0.250 0.667
Sc 0.500 0.250 0.333
Sc 0.500 0.750 0.667
Sc 0.000 0.750 0.500
Sc 0.500 0.750 0.333
Sc 0.000 0.250 0.167
Sc 0.000 0.250 0.500
Sc 0.000 0.750 0.167
Sc 0.000 0.250 0.833
Os 0.500 0.500 0.167
Os 0.500 0.500 0.500
Os 0.500 0.500 0.833
Os 0.000 0.000 0.667
Os 0.000 0.000 0.000
Os 0.000 0.000 0.333
CELL_PARAMETERS angstrom
-4.052 1.589 1.690
-3.273 -3.747 -4.323
-0.243 -10.489 9.276
```

Output
Space-group type   I4/mmm
Polymorph energy (0 for the lowest one)   75.6 meV per atom

Entry 6:
Material: Sc2AgOs
Method: DFT, PBE-GGA
State: optimized geometry Values from VASP.

```
&SYSTEM
  ibrav = 0, nat = 16, ntyp = 3
/
ATOMIC_SPECIES
Ag 107.87 Ag.upf
Sc 44.96 Sc.upf
Os 190.23 Os.upf
ATOMIC_POSITIONS crystal
Ag 0.250 0.750 0.375
Ag 0.750 0.250 0.125
Ag 0.250 0.750 0.875
Ag 0.750 0.250 0.625
Sc 0.000 0.750 0.625
Sc 0.500 0.750 0.625
Sc 0.000 0.250 0.875
Sc 0.500 0.250 0.375
Sc 0.000 0.250 0.375
Sc 0.000 0.750 0.125
Sc 0.500 0.750 0.125
Sc 0.500 0.250 0.875
Os 0.750 0.750 0.875
Os 0.750 0.750 0.375
Os 0.250 0.250 0.625
Os 0.250 0.250 0.125
CELL_PARAMETERS angstrom
6.573 0.000 0.000
0.000 4.675 0.000
0.000 0.000 9.354
```

Output
Space-group type   I4/mmm
Polymorph energy (0 for the lowest one)   75.8 meV per atom